No. 1
The following is a DFT calculation (PBE-GGA) of a relaxed La4Cu2H crystal.

Geometry as POSCAR:
```
La4Cu2H
1.0
4.8804 0.0000 0.0000
0.0000 4.8804 0.0000
2.4402 2.4402 7.5236
H Cu La
1 2 4
direct
0.0000 0.0000 0.0000
0.6227 0.6227 0.7545
0.3773 0.3773 0.2455
0.8058 0.8058 0.3884
0.1942 0.1942 0.6116
0.0000 0.5000 0.0000
0.5000 0.0000 0.0000
```

The value obtained for the raw total energy is -4.60 eV per atom. The value obtained for the total magnetic moment is 0.000 μB/f.u.

=====

No. 2
The following is a DFT calculation (PBE-GGA) of a relaxed CeH2Au crystal.

Geometry as POSCAR:
```
CeH2Au
1.0
3.8861 0.0000 0.0000
1.9430 3.3654 0.0000
1.9430 1.1218 4.5432
H Au Ce
2 1 1
direct
0.1943 0.1943 0.4170
0.8057 0.8057 0.5830
0.0000 0.0000 0.0000
0.5000 0.5000 0.5000
```

The value obtained for the raw total energy is -4.38 eV per atom. The value obtained for the total magnetic moment is 0.694 μB/f.u. The excess energy over the best structure of this formula in the dataset comes out at 85 meV/atom.

=====

No. 3
The following is a DFT calculation (PBE-GGA) of a relaxed MnBeCo crystal.

Geometry as POSCAR:
```
MnBeCo
1.0
4.1068 0.0054 -0.0059
1.9924 3.5911 0.0059
-2.7310 -2.3385 1.9846
Be Mn Co
1 1 1
direct
0.9973 0.9973 0.0000
0.6651 0.6651 0.0000
0.3376 0.3376 0.0000
```

The value obtained for the raw total energy is -6.72 eV per atom. Its formation energy is -0.0525 eV/atom. The value obtained for the total magnetic moment is 1.193 μB/f.u. The excess energy over the best structure of this formula in the dataset comes out at 106 meV/atom.

=====

No. 4
The following is a DFT calculation (PBE-GGA) of a relaxed BaZnAs2Se crystal.

Geometry as POSCAR:
```
BaZnAs2Se
1.0
-2.1639 -4.4333 -0.2619
0.5625 -0.5626 4.8757
-4.7796 2.2848 0.8150
Zn As Ba Se
1 2 1 1
direct
0.0000 0.0000 0.0000
0.0000 0.5000 0.0000
0.5000 0.0000 0.0000
0.5000 0.5000 0.5000
0.0000 0.0000 0.5000
```

The value obtained for the raw total energy is -3.53 eV per atom. The value obtained for the total magnetic moment is 0.000 μB/f.u. The excess energy over the best structure of this formula in the dataset comes out at 0 meV/atom. The uncorrected formation energy is -338 meV/atom.

=====

No. 5
The following is a DFT calculation (PBE-GGA) of a relaxed MgInW2 crystal.

Geometry as POSCAR:
```
MgInW2
1.0
5.4829 -0.0022 -0.0078
-2.6642 4.7921 -0.0078
0.4019 0.6829 2.6879
In Mg W
1 1 2
direct
0.5000 0.0000 0.5000
0.0000 0.5000 0.5000
0.0000 0.0000 0.0000
0.5000 0.5000 0.0000
```

The value obtained for the raw total energy is -7.05 eV per atom. Its formation energy is 0.5096 eV/atom. The value obtained for the total magnetic moment is 0.000 μB/f.u. The excess energy over the best structure of this formula in the dataset comes out at 209 meV/atom.

=====

No. 6
The following is a DFT calculation (PBE-GGA) of a relaxed KMg7 crystal.

Geometry as POSCAR:
```
KMg7
1.0
0.0000 4.7543 4.7543
4.7543 0.0000 4.7543
4.7543 4.7543 0.0000
K Mg
1 7
direct
0.0000 0.0000 0.0000
0.5000 0.0000 0.0000
0.0000 0.0000 0.5000
0.5000 0.0000 0.5000
0.0000 0.5000 0.0000
0.5000 0.5000 0.0000
0.0000 0.5000 0.5000
0.5000 0.5000 0.5000
```

The value obtained for the raw total energy is -1.35 eV per atom. Its formation energy is 0.1847 eV/atom. The value obtained for the total magnetic moment is 0.000 μB/f.u. The excess energy over the best structure of this formula in the dataset comes out at 26 meV/atom.